No. 1
The following is a PBE calculation of an optimized crystal structure of Cs4LiAu4, from the Alexandria database.

Unit cell a=7.358 b=8.962 c=7.358 alpha=65.76 beta=90.00 gamma=114.24
Element x y z (fractional)
Au 0.094 0.781 0.906
Au 0.906 0.219 0.686
Au 0.314 0.219 0.094
Au 0.686 0.781 0.314
Cs 0.576 0.727 0.848
Cs 0.424 0.273 0.576
Cs 0.848 0.273 0.152
Cs 0.152 0.727 0.424
Li 0.000 0.000 0.000

Properties
Its space group is I-42m (121). As for the total energy: -2.339 eV/atom. As for the density of states at the Fermi level: 0.44 states/eV/atom.

=====

No. 2
The following is a PBE calculation of an optimized crystal structure of AlAsW2N, from the Alexandria database.

Unit cell a=4.644 b=4.381 c=4.644 alpha=90.00 beta=90.00 gamma=90.00
Each line ends with the local moment (μB).
Element x y z (fractional)
W 0.000 0.000 0.500  0.07
W 0.500 0.000 0.000  0.07
Al 0.000 0.000 0.000  0.00
N 0.500 0.500 0.500  -0.06
As 0.000 0.500 0.000  -0.01

Properties
Its space group is P4/mmm (123). As for the total energy: -5.715 eV/atom. The raw formation energy is 2.810 eV/atom. As for the density of states at the Fermi level: 0.87 states/eV/atom.

=====

No. 3
The following is a PBE calculation of an optimized crystal structure of LiCo5, from the Alexandria database.

Unit cell a=4.765 b=4.765 c=5.975 alpha=74.88 beta=74.88 gamma=30.20
Each line ends with the local moment (μB).
Element x y z (fractional)
Co 0.609 0.609 0.284  1.56
Co 0.659 0.659 0.668  1.52
Co 0.007 0.007 0.005  1.52
Co 0.944 0.944 0.599  1.51
Co 0.332 0.332 0.335  1.53
Li 0.283 0.283 0.943  -0.07

Properties
The calculation puts the offset from the most stable computed form at 0.07 eV/f.u. Its space group is Cm (8). As for the total energy: -6.139 eV/atom. As for the density of states at the Fermi level: 1.02 states/eV/atom.

=====

No. 4
The following is a PBE calculation of an optimized crystal structure of Th3Re, from the Alexandria database.

Unit cell a=3.650 b=5.690 c=6.375 alpha=116.50 beta=106.63 gamma=90.00
Element x y z (fractional)
Th 0.500 0.401 0.000
Th 0.709 0.107 0.418
Th 0.291 0.689 0.582
Re 0.000 0.970 0.000

Properties
Its space group is Imm2 (44). As for the total energy: -8.558 eV/atom. As for the density of states at the Fermi level: 1.13 states/eV/atom.